A plane-wave DFT calculation with PBE was carried out for a relaxed structure of K3LaNb2O9.

Cell lengths 6.0413, 6.0413, 7.5903 Å; angles 90.00, 90.00, 120.00 degrees
Last column: nearest neighbours and their distance in Å.
Atoms (fractional coordinates):
O 0.5000 0.0000 0.0000  2 Nb 2.17
O 0.0000 0.5000 0.0000  2 Nb 2.17
K 0.0000 0.0000 0.0000  12 O 2.95-3.02
O 0.8228 0.1772 0.6970  1 Nb 1.92
O 0.5000 0.5000 0.0000  2 Nb 2.17
K 0.6667 0.3333 0.3082  9 O 2.92-3.02
O 0.8228 0.6455 0.6970  1 Nb 1.92
O 0.1772 0.3545 0.3030  1 Nb 1.92
K 0.3333 0.6667 0.6918  9 O 2.92-3.02
O 0.1772 0.8228 0.3030  1 Nb 1.92
O 0.3545 0.1772 0.6970  1 Nb 1.92
O 0.6455 0.8228 0.3030  1 Nb 1.92
Nb 0.6667 0.3333 0.8297  3 O 1.92
La 0.0000 0.0000 0.5000  6 O 2.38
Nb 0.3333 0.6667 0.1703  3 O 1.92

Summary:
space group = P-3m1, No. 164
Fermi-level density of states = 4.62 states/eV per cell
ΔE_f (raw) = -2269 meV/atom
size of the total moment = 2.072 μB/f.u.